Density functional theory data (PBE) for a relaxed HfNbMo14 crystal.

The space group is Cmmm (No. 65) and the conventional cell measures 6.3681, 9.0258 and 9.0261 Å, with angles of 90.00, 90.00 and 90.00 degrees. The asymmetric unit holds Hf at (0.0000, 0.0000, 0.0000), Nb at (0.0000, 0.5000, 0.0000), Mo at (0.0000, 0.0000, 0.5000), Mo at (0.0000, 0.2496, 0.2523), Mo at (0.0000, 0.5000, 0.5000), Mo at (0.2486, 0.5000, 0.2576), Mo at (0.2500, 0.2500, 0.0000) and Mo at (0.2500, 0.2500, 0.5000).

Its calculated total energy is -0.3966 hartree per atom. For the formation energy, the calculation gives -0.063 eV per atom. The calculation puts the magnetic moment at 0.0 μB/f.u.